1.
VASP calculation (GGA-PBE) on a relaxed CdSn2I6 crystal.

a b c (Å): 7.480 7.480 13.870
angles (deg): 90.00 90.00 90.00
Fractional positions:
Cd 0.000 0.000 0.000
Cd 0.500 0.500 0.500
Sn 0.000 0.000 0.335
Sn 0.000 0.000 0.665
Sn 0.500 0.500 0.165
Sn 0.500 0.500 0.835
I 0.195 0.195 0.159
I 0.195 0.195 0.841
I 0.208 0.208 0.500
I 0.292 0.708 0.000
I 0.305 0.695 0.341
I 0.305 0.695 0.659
I 0.695 0.305 0.341
I 0.695 0.305 0.659
I 0.708 0.292 0.000
I 0.792 0.792 0.500
I 0.805 0.805 0.159
I 0.805 0.805 0.841

## Properties
E_form (uncorrected) = -0.47 eV/atom
Polymorph energy (0 for the lowest one) = 50 meV per atom
Space-group type = No. 136



2.
VASP calculation (GGA-PBE) on a relaxed La12Er7Pu crystal.

a b c (Å): 11.432 11.432 11.432
angles (deg): 116.63 116.63 116.63
Fractional positions:
La 0.088 0.442 0.443
La 0.092 0.499 0.906
La 0.094 0.908 0.501
La 0.442 0.443 0.088
La 0.443 0.088 0.442
La 0.499 0.906 0.092
La 0.501 0.094 0.908
La 0.557 0.912 0.558
La 0.558 0.557 0.912
La 0.906 0.092 0.499
La 0.908 0.501 0.094
La 0.912 0.558 0.557
Er 0.104 0.346 0.105
Er 0.105 0.104 0.346
Er 0.346 0.105 0.104
Er 0.500 0.500 0.500
Er 0.654 0.895 0.896
Er 0.895 0.896 0.654
Er 0.896 0.654 0.895
Pu 0.000 0.000 0.000

## Properties
E = -5.080 eV/atom
Space-group type = No. 148



3.
VASP calculation (GGA-PBE) on a relaxed TcAsRu crystal.

a b c (Å): 4.213 4.213 2.851
angles (deg): 90.00 90.00 120.00
Fractional positions:
Tc 0.000 0.000 0.000
As 0.667 0.333 0.252
Ru 0.333 0.667 0.501

## Properties
Polymorph energy (0 for the lowest one) = 28 meV per atom
Space-group type = No. 156



4.
VASP calculation (GGA-PBE) on a relaxed AgSn2Br8 crystal.

a b c (Å): 8.475 8.475 6.937
angles (deg): 97.75 97.75 76.71
Fractional positions:
Ag 0.000 0.000 0.000
Sn 0.207 0.207 0.686
Sn 0.793 0.793 0.314
Br 0.083 0.710 0.205
Br 0.186 0.186 0.309
Br 0.290 0.917 0.795
Br 0.393 0.393 0.860
Br 0.607 0.607 0.140
Br 0.710 0.083 0.205
Br 0.814 0.814 0.691
Br 0.917 0.290 0.795

## Properties
E_form (uncorrected) = -0.53 eV/atom
Polymorph energy (0 for the lowest one) = 0 meV per atom
Space-group type = No. 12



5.
VASP calculation (GGA-PBE) on a relaxed KAl2Rh crystal.

a b c (Å): 8.290 8.290 8.290
angles (deg): 137.58 137.58 61.55
Fractional positions:
K 0.375 0.625 0.750
K 0.625 0.375 0.250
Al 0.000 0.000 0.000
Al 0.000 0.000 0.500
Al 0.000 0.500 0.000
Al 0.500 0.000 0.500
Rh 0.125 0.875 0.250
Rh 0.875 0.125 0.750

## Properties
Polymorph energy (0 for the lowest one) = 261 meV per atom
Space-group type = No. 141



6.
VASP calculation (GGA-PBE) on a relaxed LiSeF4 crystal.

a b c (Å): 5.281 11.759 7.445
angles (deg): 90.00 123.23 90.00
Fractional positions:
Li 0.217 0.096 0.128
Li 0.217 0.404 0.628
Li 0.783 0.596 0.372
Li 0.783 0.904 0.872
Se 0.313 0.708 0.791
Se 0.313 0.792 0.291
Se 0.687 0.208 0.709
Se 0.687 0.292 0.209
F 0.024 0.748 0.991
F 0.024 0.752 0.491
F 0.131 0.555 0.683
F 0.131 0.945 0.183
F 0.433 0.154 0.424
F 0.433 0.346 0.924
F 0.442 0.640 0.395
F 0.442 0.860 0.895
F 0.558 0.140 0.105
F 0.558 0.360 0.605
F 0.567 0.654 0.076
F 0.567 0.846 0.576
F 0.869 0.055 0.817
F 0.869 0.445 0.317
F 0.976 0.248 0.509
F 0.976 0.252 0.009

## Properties
E_form (uncorrected) = -1.90 eV/atom
Polymorph energy (0 for the lowest one) = 0 meV per atom
Space-group type = No. 14



7.
VASP calculation (GGA-PBE) on a relaxed Na2LaHfRh crystal.

a b c (Å): 5.536 5.536 4.795
angles (deg): 90.00 90.00 90.00
Fractional positions:
Na 0.000 0.500 0.000
Na 0.500 0.000 0.000
La 0.000 0.000 0.000
Hf 0.500 0.500 0.500
Rh 0.000 0.000 0.500

## Properties
E = -3.807 eV/atom
Space-group type = No. 123



8.
VASP calculation (GGA-PBE) on a relaxed Pm2TmThBi5 crystal.

a b c (Å): 5.754 5.754 11.830
angles (deg): 90.00 90.00 90.00
Fractional positions:
Pm 0.000 0.000 0.219
Pm 0.000 0.000 0.781
Tm 0.500 0.500 0.500
Th 0.500 0.500 0.000
Bi 0.000 0.000 0.500
Bi 0.000 0.500 0.000
Bi 0.500 0.000 0.000
Bi 0.500 0.500 0.259
Bi 0.500 0.500 0.741

## Properties
E = -4.430 eV/atom
Space-group type = No. 123



9.
VASP calculation (GGA-PBE) on a relaxed Y2TlCd5 crystal.

a b c (Å): 11.400 11.400 10.029
angles (deg): 90.00 90.00 161.82
Fractional positions:
Y 0.000 0.000 0.000
Y 0.000 0.000 0.500
Y 0.179 0.821 0.750
Y 0.821 0.179 0.250
Tl 0.442 0.558 0.250
Tl 0.558 0.442 0.750
Cd 0.218 0.782 0.104
Cd 0.218 0.782 0.396
Cd 0.373 0.627 0.002
Cd 0.373 0.627 0.498
Cd 0.428 0.572 0.750
Cd 0.572 0.428 0.250
Cd 0.627 0.373 0.502
Cd 0.627 0.373 0.998
Cd 0.782 0.218 0.604
Cd 0.782 0.218 0.896

## Properties
E = -2.682 eV/atom
Space-group type = No. 63



10.
VASP calculation (GGA-PBE) on a relaxed Li2H5Pd4 crystal.

a b c (Å): 14.265 14.265 14.265
angles (deg): 11.77 11.77 11.77
Fractional positions:
Li 0.139 0.139 0.139
Li 0.861 0.861 0.861
H 0.228 0.228 0.228
H 0.376 0.376 0.376
H 0.500 0.500 0.500
H 0.624 0.624 0.624
H 0.772 0.772 0.772
Pd 0.306 0.306 0.306
Pd 0.422 0.422 0.422
Pd 0.578 0.578 0.578
Pd 0.694 0.694 0.694

## Properties
E = -3.988 eV/atom
Space-group type = No. 166



11.
VASP calculation (GGA-PBE) on a relaxed CoIr2Os crystal.

a b c (Å): 4.668 4.668 4.668
angles (deg): 52.20 52.20 52.20
Fractional positions:
Co 0.000 0.000 0.000
Ir 0.353 0.353 0.353
Ir 0.572 0.572 0.572
Os 0.786 0.786 0.786

## Properties
Polymorph energy (0 for the lowest one) = 371 meV per atom
Space-group type = No. 160



12.
VASP calculation (GGA-PBE) on a relaxed PmHoGaCu crystal.

a b c (Å): 5.060 5.060 5.060
angles (deg): 60.00 60.00 60.00
Fractional positions:
Pm 0.000 0.000 0.000
Ho 0.500 0.500 0.500
Ga 0.750 0.750 0.750
Cu 0.250 0.250 0.250

## Properties
E = -4.496 eV/atom
Space-group type = No. 216



13.
VASP calculation (GGA-PBE) on a relaxed Cs2TePtI6 crystal.

a b c (Å): 8.400 8.400 8.400
angles (deg): 119.76 119.76 90.42
Fractional positions:
Cs 0.250 0.750 0.500
Cs 0.750 0.250 0.500
Te 0.000 0.000 0.000
Pt 0.500 0.500 0.000
I 0.264 0.264 0.000
I 0.266 0.266 0.532
I 0.266 0.734 0.000
I 0.734 0.266 0.000
I 0.734 0.734 0.468
I 0.736 0.736 0.000

## Properties
E_form (uncorrected) = -0.69 eV/atom
Space-group type = No. 139



14.
VASP calculation (GGA-PBE) on a relaxed CsRb2AuO crystal.

a b c (Å): 9.426 9.426 9.247
angles (deg): 90.00 90.00 151.38
Fractional positions:
Cs 0.004 0.996 0.750
Cs 0.996 0.004 0.250
Rb 0.360 0.640 0.007
Rb 0.360 0.640 0.493
Rb 0.640 0.360 0.507
Rb 0.640 0.360 0.993
Au 0.216 0.784 0.750
Au 0.784 0.216 0.250
O 0.500 0.500 0.000
O 0.500 0.500 0.500

## Properties
E_form (uncorrected) = -0.62 eV/atom
Polymorph energy (0 for the lowest one) = 64 meV per atom
Space-group type = No. 63



15.
VASP calculation (GGA-PBE) on a relaxed La3BeGaS7 crystal.

a b c (Å): 9.999 9.999 6.455
angles (deg): 90.00 90.00 120.00
Fractional positions:
La 0.155 0.779 0.000
La 0.221 0.375 0.000
La 0.375 0.155 0.500
La 0.625 0.845 0.000
La 0.779 0.625 0.500
La 0.845 0.221 0.500
Be 0.000 0.000 0.109
Be 0.000 0.000 0.609
Ga 0.333 0.667 0.422
Ga 0.667 0.333 0.922
S 0.092 0.524 0.276
S 0.098 0.866 0.583
S 0.134 0.232 0.583
S 0.232 0.098 0.083
S 0.333 0.667 0.778
S 0.432 0.908 0.276
S 0.476 0.568 0.276
S 0.524 0.432 0.776
S 0.568 0.092 0.776
S 0.667 0.333 0.278
S 0.768 0.902 0.583
S 0.866 0.768 0.083
S 0.902 0.134 0.083
S 0.908 0.476 0.776

## Properties
E_form (uncorrected) = -1.71 eV/atom
Polymorph energy (0 for the lowest one) = 0 meV per atom
Space-group type = No. 173



16.
VASP calculation (GGA-PBE) on a relaxed Mg2Cd5Ga crystal.

a b c (Å): 6.282 12.503 4.368
angles (deg): 90.00 90.00 90.00
Fractional positions:
Mg 0.238 0.121 0.000
Mg 0.262 0.621 0.000
Mg 0.738 0.379 0.000
Mg 0.762 0.879 0.000
Cd 0.000 0.500 0.500
Cd 0.006 0.749 0.500
Cd 0.246 0.374 0.000
Cd 0.254 0.874 0.000
Cd 0.494 0.249 0.500
Cd 0.500 0.000 0.500
Cd 0.506 0.751 0.500
Cd 0.746 0.126 0.000
Cd 0.754 0.626 0.000
Cd 0.994 0.251 0.500
Ga 0.000 0.000 0.500
Ga 0.500 0.500 0.500

## Properties
E = -1.406 eV/atom
Space-group type = No. 55



17.
VASP calculation (GGA-PBE) on a relaxed Dy8Hg2Pt crystal.

a b c (Å): 9.318 9.318 6.819
angles (deg): 102.12 102.12 32.08
Fractional positions:
Dy 0.023 0.023 0.275
Dy 0.204 0.204 0.820
Dy 0.345 0.345 0.532
Dy 0.412 0.412 0.060
Dy 0.588 0.588 0.940
Dy 0.655 0.655 0.468
Dy 0.796 0.796 0.180
Dy 0.977 0.977 0.725
Hg 0.190 0.190 0.241
Hg 0.810 0.810 0.759
Pt 0.500 0.500 0.500

## Properties
Polymorph energy (0 for the lowest one) = 0 meV per atom
Space-group type = No. 12



18.
VASP calculation (GGA-PBE) on a relaxed Nd3In2Hg2 crystal.

a b c (Å): 11.512 11.512 3.578
angles (deg): 90.00 90.00 155.99
Fractional positions:
Nd 0.000 0.000 0.000
Nd 0.157 0.843 0.000
Nd 0.843 0.157 0.000
In 0.425 0.575 0.500
In 0.575 0.425 0.500
Hg 0.287 0.713 0.500
Hg 0.713 0.287 0.500

## Properties
E = -3.371 eV/atom
Space-group type = No. 65



19.
VASP calculation (GGA-PBE) on a relaxed Tb5TmAu6 crystal.

a b c (Å): 8.867 8.867 8.867
angles (deg): 146.44 132.55 59.37
Fractional positions:
Tb 0.000 0.000 0.000
Tb 0.166 0.666 0.500
Tb 0.333 0.333 0.000
Tb 0.667 0.667 0.000
Tb 0.834 0.334 0.500
Tm 0.500 0.000 0.500
Au 0.089 0.836 0.253
Au 0.256 0.500 0.756
Au 0.418 0.164 0.253
Au 0.582 0.836 0.747
Au 0.744 0.500 0.244
Au 0.911 0.164 0.747

## Properties
E = -4.797 eV/atom
Space-group type = No. 71



20.
VASP calculation (GGA-PBE) on a relaxed Tb6Pm2Y3Ho crystal.

a b c (Å): 6.191 6.191 11.856
angles (deg): 94.97 94.97 119.96
Fractional positions:
Tb 0.084 0.417 0.751
Tb 0.248 0.248 0.249
Tb 0.417 0.084 0.751
Tb 0.583 0.916 0.249
Tb 0.752 0.752 0.751
Tb 0.916 0.583 0.249
Pm 0.333 0.667 0.500
Pm 0.667 0.333 0.500
Y 0.166 0.834 0.000
Y 0.500 0.500 0.000
Y 0.834 0.166 0.000
Ho 0.000 0.000 0.500

## Properties
E = -5.089 eV/atom
Space-group type = No. 12



21.
VASP calculation (GGA-PBE) on a relaxed NdCuPt crystal.

a b c (Å): 7.130 4.281 7.974
angles (deg): 90.00 90.00 90.00
Fractional positions:
Nd 0.018 0.250 0.201
Nd 0.482 0.750 0.701
Nd 0.518 0.250 0.299
Nd 0.982 0.750 0.799
Cu 0.159 0.250 0.577
Cu 0.341 0.750 0.077
Cu 0.659 0.250 0.923
Cu 0.841 0.750 0.423
Pt 0.230 0.750 0.398
Pt 0.270 0.250 0.898
Pt 0.730 0.750 0.102
Pt 0.770 0.250 0.602

## Properties
Polymorph energy (0 for the lowest one) = 0 meV per atom
Space-group type = No. 62



Table of total magnetic moment (μB/f.u.), in record order: 0.000, 5.351, 0.000, 0.000, 0.000, 0.000, 0.001, 0.000, 0.000, 0.000, 1.035, 0.000, 0.000, 0.076, 0.000, 0.000, 0.000, 0.000, 0.000, 0.000, 0.000